## B3Os2 (PBE)

Data for crystalline B3Os2 at its relaxed geometry.

Cell and atoms, written as POSCAR:
```
B3Os2
1.0
2.943 0.000 0.000
-1.472 2.549 0.000
0.000 0.000 12.938
B Os
6 4
Direct
0.333 0.667 0.031
0.333 0.667 0.250
0.333 0.667 0.469
0.667 0.333 0.531
0.667 0.333 0.750
0.667 0.333 0.969
0.333 0.667 0.640
0.333 0.667 0.860
0.667 0.333 0.140
0.667 0.333 0.360
```

Properties
Space group ... P6_3/mmc, No. 194
Fermi-level density of states ... 0.0808 states/eV per atom
V ... 9.71 A^3/atom
Formation enthalpy at 0 K ... -258 meV per atom